The following is a PBE calculation of a relaxed Ce3PuH8 crystal, from Alexandria via LeMat-Bulk.

Space group: Pm-3m (221)
DFT total energy: -0.199 hartree per atom
Density of states at the Fermi level: 2.009 states/eV per atom

Cell: 5.410 5.410 5.410 Å, 90.00 90.00 90.00°
Site moments in Bohr magnetons follow the coordinates.
Element x y z (fractional)
Ce  0.500  0.500  0.000  0.81
Ce  0.500  0.000  0.500  0.81
Ce  0.000  0.500  0.500  0.81
Pu  0.000  0.000  0.000  5.19
H  0.247  0.247  0.753  -0.01
H  0.247  0.753  0.247  -0.01
H  0.753  0.247  0.247  -0.01
H  0.753  0.753  0.753  -0.01
H  0.753  0.753  0.247  -0.01
H  0.753  0.247  0.753  -0.01
H  0.247  0.753  0.753  -0.01
H  0.247  0.247  0.247  -0.01